[1]
CoTeS2: relaxed, GGA-PBEsol.

Cell and atoms, written as POSCAR:
```
CoTeS2
1.0
1.689 0.975 7.502
-1.689 0.975 7.502
0.000 -1.950 7.502
Co Te S
1 1 2
Cartesian
0.000 0.000 0.000 Co
0.000 0.000 11.253 Te
0.000 0.000 8.592 S
0.000 0.000 13.915 S
```

## Properties
Magnetic moment: 0.000 μB per cell
Energy relative to the elements, uncorrected: -0.30 eV/atom
DOS(E_F): 0.407 states/eV/atom
Raw total energy: -0.3900 Ry per atom
Symmetry: R-3m, No. 166

---

[2]
Ag5Hg: relaxed, GGA-PBEsol.

Cell and atoms, written as POSCAR:
```
Ag5Hg
1.0
5.355 -1.474 0.000
5.355 1.474 0.000
-1.885 0.000 6.547
Ag Hg
5 1
Cartesian
0.000 0.000 0.000 Ag
-0.572 0.000 3.914 Ag
2.360 0.000 4.322 Ag
3.651 0.000 1.792 Ag
6.524 0.000 2.187 Ag
5.947 0.000 6.121 Hg
```

## Properties
Magnetic moment: 0.000 μB per cell
E above lowest polymorph: 0.0 meV/atom
DOS(E_F): 0.264 states/eV/atom
Raw total energy: -0.2093 Ry per atom
Symmetry: Cm, No. 8

---

[3]
NaH3Br: relaxed, GGA-PBEsol.

Cell and atoms, written as POSCAR:
```
NaH3Br
1.0
4.192 0.000 0.000
0.000 4.192 0.000
0.000 0.000 4.192
Na H Br
1 3 1
Cartesian
0.000 0.000 0.000 Na
0.000 0.000 2.096 H
0.000 2.096 0.000 H
2.096 0.000 0.000 H
2.096 2.096 2.096 Br
```

## Properties
Magnetic moment: 2.839 μB per cell
DOS(E_F): 0.296 states/eV/atom
Raw total energy: -0.1275 Ry per atom
Symmetry: Pm-3m, No. 221

---

[4]
NiAsP2: relaxed, GGA-PBEsol.

Cell and atoms, written as POSCAR:
```
NiAsP2
1.0
0.000 2.564 4.489
2.397 0.000 4.489
2.397 2.564 0.000
Ni As P
1 1 2
Cartesian
0.000 0.000 0.000 Ni
2.397 2.564 4.489 As
2.397 1.282 2.244 P
0.000 1.282 2.244 P
```

## Properties
Magnetic moment: 0.000 μB per cell
DOS(E_F): 0.441 states/eV/atom
Raw total energy: -0.4140 Ry per atom
Symmetry: Fmmm, No. 69

---

[5]
Ca2AgSe: relaxed, GGA-PBEsol.

Cell and atoms, written as POSCAR:
```
Ca2AgSe
1.0
5.052 0.000 0.000
0.000 5.052 0.000
0.000 0.000 3.698
Ca Ag Se
2 1 1
Cartesian
0.000 2.526 0.000 Ca
2.526 0.000 0.000 Ca
0.000 0.000 1.849 Ag
2.526 2.526 1.849 Se
```

## Properties
Magnetic moment: 0.000 μB per cell
Energy relative to the elements, uncorrected: -0.93 eV/atom
E above lowest polymorph: 49.1 meV/atom
DOS(E_F): 0.473 states/eV/atom
Raw total energy: -0.2782 Ry per atom
Symmetry: P4/mmm, No. 123

---

[6]
TlAsRuAu2: relaxed, GGA-PBEsol.

Cell and atoms, written as POSCAR:
```
TlAsRuAu2
1.0
4.708 0.000 0.000
0.000 4.708 0.000
0.000 0.000 5.288
Tl As Ru Au
1 1 1 2
Cartesian
0.000 0.000 0.000 Tl
0.000 0.000 2.644 As
2.354 2.354 0.000 Ru
0.000 2.354 2.644 Au
2.354 0.000 2.644 Au
```

## Properties
Magnetic moment: 2.182 μB per cell
DOS(E_F): 1.013 states/eV/atom
Raw total energy: -0.2850 Ry per atom
Symmetry: P4/mmm, No. 123

---

What did the second record say?
Ag5Hg: relaxed, GGA-PBEsol.

Cell and atoms, written as POSCAR:
```
Ag5Hg
1.0
5.355 -1.474 0.000
5.355 1.474 0.000
-1.885 0.000 6.547
Ag Hg
5 1
Cartesian
0.000 0.000 0.000 Ag
-0.572 0.000 3.914 Ag
2.360 0.000 4.322 Ag
3.651 0.000 1.792 Ag
6.524 0.000 2.187 Ag
5.947 0.000 6.121 Hg
```

## Properties
Magnetic moment: 0.000 μB per cell
E above lowest polymorph: 0.0 meV/atom
DOS(E_F): 0.264 states/eV/atom
Raw total energy: -0.2093 Ry per atom
Symmetry: Cm, No. 8